The following is a DFT calculation (GGA-PBE) of a relaxed structure of Sr5Zn2Ga.

Results
Energy of formation from the pure elements ... -1.6 eV/f.u.
M_tot ... 0.0 μB per formula unit
E ... -31.24 eV/cell
V ... 35.93 Å³/atom

Cell and atoms, written as POSCAR:
```
Sr5Zn2Ga
1.0
7.382 0.000 -3.485
-1.645 7.197 -3.485
0.378 0.474 10.363
Sr Ga Zn
10 2 4
direct
0.829 0.969 0.299
0.671 0.171 0.701
0.329 0.829 0.299
0.531 0.671 0.701
0.500 0.500 0.000
0.969 0.469 0.299
0.031 0.531 0.701
0.469 0.329 0.299
0.000 0.000 0.000
0.171 0.031 0.701
0.750 0.750 0.500
0.250 0.250 0.500
0.608 0.108 0.000
0.892 0.608 0.000
0.392 0.892 0.000
0.108 0.392 0.000
```